1.
Below is Ac8Pr3Y after structural relaxation, with properties calculated at the PBE level.

**ΔE_f**: 328 meV/atom
**Space-group type**: No. 12

Geometry as extended XYZ:
```
12
Lattice="-8.938 -1.458 2.396 0.439 -4.741 -8.068 8.238 -2.898 3.415" Properties=species:S:1:pos:R:3 pbc="T T T"
Pr -4.600 -5.278 0.070
Ac 5.238 -6.479 -4.669
Ac -2.400 -5.022 2.820
Ac -1.067 -6.016 -0.516
Y -8.499 -6.199 -5.672
Ac -2.530 -2.419 0.169
Pr 1.747 -4.242 2.018
Ac 2.268 -6.679 -2.425
Ac -5.500 -2.618 2.412
Ac 0.805 -3.082 -1.741
Ac 2.138 -4.075 -5.076
Pr -2.009 -4.855 -4.275
```



2.
Below is Ho8Cd2Au after structural relaxation, with properties calculated at the PBE level.

**ΔE_f**: -215 meV/atom
**Space-group type**: No. 12

Geometry as extended XYZ:
```
11
Lattice="5.200 0.000 0.000 0.000 6.900 0.220 -2.600 -2.694 8.554" Properties=species:S:1:pos:R:3 pbc="T T T"
Ho 2.600 2.611 1.667
Ho 0.000 -1.601 5.846
Au 2.600 0.000 0.000
Cd 2.600 0.207 5.433
Ho 2.600 -0.996 8.245
Ho 0.000 1.030 3.519
Ho 2.600 5.808 2.928
Cd 0.000 3.999 3.341
Ho 0.000 1.595 7.107
Ho 2.600 3.177 5.255
Ho 0.000 5.203 0.529
```



3.
Below is Ac2TaCo2N6 after structural relaxation, with properties calculated at the PBE level.

**Raw formation energy**: -556 meV/atom
**Space-group type**: No. 166

Geometry as extended XYZ:
```
11
Lattice="-3.433 -1.233 4.508 0.173 -5.266 2.422 2.735 -0.491 5.678" Properties=species:S:1:pos:R:3 pbc="T T T"
N 1.292 -1.943 5.990
Co 0.549 -3.140 7.018
N 1.381 -4.657 7.238
Ac -0.629 -5.345 9.248
N -1.906 -2.333 5.370
N -0.477 -2.578 8.313
Ac 0.104 -1.644 3.359
Co -1.073 -3.850 5.589
N -0.047 -4.412 4.295
Ta 0.000 0.000 0.000
N -1.817 -5.047 6.618
```



4.
Below is LiMg2Sn after structural relaxation, with properties calculated at the PBE level.

**ΔE_f**: -119 meV/atom
**Space-group type**: No. 160

Geometry as extended XYZ:
```
4
Lattice="4.801 0.000 0.000 2.401 4.158 0.000 2.401 1.386 4.944" Properties=species:S:1:pos:R:3 pbc="T T T"
Mg 2.401 1.386 0.960
Mg 2.401 1.386 4.018
Li 4.801 2.772 2.707
Sn 7.202 4.158 4.674
```



5.
Below is SiB3Te after structural relaxation, with properties calculated at the PBE level.

**Raw formation energy**: 2366 meV/atom
**Space-group type**: No. 221

Geometry as extended XYZ:
```
5
Lattice="4.410 0.000 0.000 0.000 4.410 0.000 0.000 0.000 4.410" Properties=species:S:1:pos:R:3 pbc="T T T"
B 2.205 0.000 0.000
Si 2.205 2.205 2.205
Te 0.000 0.000 0.000
B 0.000 0.000 2.205
B 0.000 2.205 0.000
```